# 1
This record from Alexandria describes a PBEsol-optimized structure of ZnRe2AuBr. The functional is meta-GGA SCAN.

Output
E_tot (eV per cell): -232.2
DOS(E_F) (states/eV/atom): 0.53

Unit cell a=4.537 b=4.537 c=4.851 alpha=90.00 beta=90.00 gamma=90.00
Positions (direct):
Re 0.000 0.500 0.000
Re 0.500 0.000 0.000
Zn 0.500 0.500 0.500
Au 0.000 0.000 0.500
Br 0.000 0.000 0.000

=====

# 2
This record from Alexandria describes a PBEsol-optimized structure of NiAg3S. The functional is meta-GGA SCAN.

Output
E_tot (eV per cell): -115.8
DOS(E_F) (states/eV/atom): 0.91

Unit cell a=4.614 b=4.614 c=4.614 alpha=90.00 beta=90.00 gamma=90.00
Positions (direct):
Ni 0.500 0.500 0.500
S 0.000 0.000 0.000
Ag 0.000 0.500 0.000
Ag 0.000 0.000 0.500
Ag 0.500 0.000 0.000

=====

# 3
This record from Alexandria describes a PBEsol-optimized structure of MnCd3As. The functional is meta-GGA SCAN.

Output
ΔE_f (eV per formula unit): 3.7
DOS(E_F) (states/eV/atom): 0.79

Unit cell a=4.983 b=4.983 c=4.983 alpha=90.00 beta=90.00 gamma=90.00
Positions (direct):
As 0.500 0.500 0.500
Mn 0.000 0.000 0.000
Cd 0.000 0.500 0.000
Cd 0.000 0.000 0.500
Cd 0.500 0.000 0.000

=====

# 4
This record from Alexandria describes a PBEsol-optimized structure of KLaSe. The functional is meta-GGA SCAN.

Output
E_tot (eV per cell): -75.0
DOS(E_F) (states/eV/atom): 0.45

Unit cell a=3.823 b=3.823 c=7.887 alpha=104.03 beta=104.03 gamma=90.00
Positions (direct):
K 0.027 0.027 0.054
La 0.279 0.279 0.559
Se 0.694 0.694 0.387

=====

# 5
This record from Alexandria describes a PBEsol-optimized structure of Mg4Zr5. The functional is meta-GGA SCAN.

Output
ΔE_f (eV per formula unit): 0.4
DOS(E_F) (states/eV/atom): 1.05

Unit cell a=4.399 b=7.017 c=7.017 alpha=84.36 beta=71.73 gamma=71.73
Positions (direct):
Mg 0.664 0.336 0.336
Mg 0.336 0.664 0.664
Mg 0.000 0.336 0.664
Mg 0.000 0.664 0.336
Zr 0.000 0.000 0.000
Zr 0.663 0.673 0.000
Zr 0.337 0.000 0.327
Zr 0.663 0.000 0.673
Zr 0.337 0.327 0.000

=====

# 6
This record from Alexandria describes a PBEsol-optimized structure of InCoAs2Se. The functional is meta-GGA SCAN.

Output
E_tot (eV per cell): -105.0
DOS(E_F) (states/eV/atom): 0.75

Unit cell a=5.082 b=5.082 c=5.164 alpha=90.00 beta=90.00 gamma=90.00
Positions (direct):
As 0.000 0.500 0.000
As 0.500 0.000 0.000
Co 0.500 0.500 0.500
Se 0.000 0.000 0.500
In 0.000 0.000 0.000

=====

# 7
This record from Alexandria describes a PBEsol-optimized structure of Y2FeSi2. The functional is meta-GGA SCAN.

Output
E_tot (eV per cell): -194.4
DOS(E_F) (states/eV/atom): 0.54

Unit cell a=4.092 b=5.590 c=8.844 alpha=83.12 beta=76.62 gamma=68.53
Positions (direct):
Y 0.811 0.270 0.108
Y 0.002 0.668 0.328
Y 0.189 0.730 0.892
Y 0.998 0.332 0.672
Si 0.501 0.125 0.872
Si 0.343 0.749 0.564
Si 0.499 0.875 0.128
Si 0.657 0.251 0.436
Fe 0.728 0.921 0.623
Fe 0.272 0.079 0.377

=====

# 8
This record from Alexandria describes a PBEsol-optimized structure of La3CN. The functional is meta-GGA SCAN.

Output
E_tot (eV per cell): -146.7
DOS(E_F) (states/eV/atom): 0.70

Unit cell a=4.918 b=4.918 c=4.918 alpha=90.00 beta=90.00 gamma=90.00
Positions (direct):
C 0.000 0.000 0.000
N 0.500 0.500 0.500
La 0.000 0.500 0.000
La 0.000 0.000 0.500
La 0.500 0.000 0.000